No. 1
# CeFeSi3

A geometry-optimized CeFeSi3 structure (PBE, Alexandria via LeMat-Bulk). Values from VASP.

calculated volume = 320.67 Å³/cell
total DFT energy (no corrections) = -33.606 eV/f.u.
formation energy from raw total energies = -0.588 eV per atom
SG = Pnma (62)

Geometry as Quantum ESPRESSO input:
```
&SYSTEM
  ibrav = 0, nat = 20, ntyp = 3
/
ATOMIC_SPECIES
Ce 140.12 Ce.upf
Fe 55.84 Fe.upf
Si 28.09 Si.upf
ATOMIC_POSITIONS angstrom
Ce 1.480 0.990 0.298
Ce 2.466 2.970 5.429
Ce 5.426 0.990 4.833
Ce 6.412 2.970 9.964
Fe 0.625 0.990 3.542
Fe 3.321 2.970 8.673
Fe 4.571 0.990 1.589
Fe 7.267 2.970 6.720
Si 0.411 0.990 5.886
Si 1.020 2.970 2.369
Si 1.029 2.970 8.292
Si 2.917 0.990 3.161
Si 2.926 0.990 7.501
Si 3.535 2.970 0.755
Si 4.357 0.990 9.507
Si 4.966 2.970 2.762
Si 4.975 2.970 7.101
Si 6.863 0.990 1.970
Si 6.872 0.990 7.893
Si 7.481 2.970 4.376
CELL_PARAMETERS angstrom
7.892 0.000 0.000
0.000 3.959 0.000
0.000 0.000 10.262
```

No. 2
# Ba2LiIn3Ag4

A geometry-optimized Ba2LiIn3Ag4 structure (PBE, Alexandria via LeMat-Bulk). Values from VASP.

calculated volume = 271.96 Å³/cell
total DFT energy (no corrections) = -28.117 eV/f.u.
SG = P-4m2 (115)
energy of formation = -26 kJ/mol of atoms

Geometry as Quantum ESPRESSO input:
```
&SYSTEM
  ibrav = 0, nat = 10, ntyp = 4
/
ATOMIC_SPECIES
Ba 137.33 Ba.upf
Li 6.94 Li.upf
In 114.82 In.upf
Ag 107.87 Ag.upf
ATOMIC_POSITIONS angstrom
Ba 0.000 2.348 3.059
Ba 2.348 0.000 9.278
Li 0.000 0.000 6.169
In 0.000 2.348 10.721
In 2.348 0.000 1.616
In 2.348 2.348 6.169
Ag 0.000 0.000 0.000
Ag 0.000 2.348 7.824
Ag 2.348 0.000 4.514
Ag 2.348 2.348 0.000
CELL_PARAMETERS angstrom
4.695 0.000 0.000
0.000 4.695 0.000
0.000 0.000 12.337
```

No. 3
# NaZr

A geometry-optimized NaZr structure (PBE, Alexandria via LeMat-Bulk). Values from VASP.

calculated volume = 210.93 Å³/cell
total DFT energy (no corrections) = -7.955 eV/f.u.
SG = Fddd (70)
energy of formation = 92 kJ/mol of atoms

Geometry as Quantum ESPRESSO input:
```
&SYSTEM
  ibrav = 0, nat = 8, ntyp = 2
/
ATOMIC_SPECIES
Na 22.99 Na.upf
Zr 91.22 Zr.upf
ATOMIC_POSITIONS angstrom
Na 3.219 0.286 4.215
Na 5.365 2.473 7.025
Na 3.219 6.273 4.215
Na 5.365 8.459 7.025
Zr 4.486 3.280 4.215
Zr 6.632 5.466 7.025
Zr 1.951 3.280 4.215
Zr 4.097 5.466 7.025
CELL_PARAMETERS angstrom
0.000 4.373 5.620
4.292 0.000 5.620
4.292 4.373 0.000
```

No. 4
# Al2ZnSe2S2

A geometry-optimized Al2ZnSe2S2 structure (PBE, Alexandria via LeMat-Bulk). Values from VASP.

calculated volume = 165.99 Å³/cell
total DFT energy (no corrections) = -30.095 eV/f.u.
formation energy from raw total energies = -0.873 eV per atom
SG = Pm (6)

Geometry as Quantum ESPRESSO input:
```
&SYSTEM
  ibrav = 0, nat = 7, ntyp = 4
/
ATOMIC_SPECIES
Al 26.98 Al.upf
Zn 65.41 Zn.upf
Se 78.96 Se.upf
S 32.06 S.upf
ATOMIC_POSITIONS angstrom
Al 0.000 0.000 0.000
Al 2.731 0.000 2.201
Zn 6.226 1.894 3.580
Se 5.220 1.894 5.821
Se 5.257 0.000 2.259
S 2.192 0.000 0.084
S 2.238 1.894 3.451
CELL_PARAMETERS angstrom
6.328 0.000 0.000
0.000 3.789 0.000
-0.046 0.000 6.923
```